(1)
Below is an optimized crystal structure of Ho6AgOs2, with properties calculated at the PBE level.

Cell lengths 8.4203, 8.4203, 8.4203 Å; angles 112.45, 112.25, 103.86 degrees
Last column: nearest neighbours and their distance in Å.
Fractional positions:
Ho: 0.0436 0.2446 0.7990  1 Os 2.78
Ho: 0.1821 0.2784 0.4605  3 Os 2.92-2.97, 1 Ag 3.12
Ho: 0.1821 0.7216 0.9037  3 Os 2.92-2.97, 1 Ag 3.12
Ho: 0.3318 0.0157 0.6839  3 Os 2.78-2.97
Ho: 0.3318 0.6478 0.3161  3 Os 2.78-2.97
Ho: 0.4456 0.2446 0.2010  1 Os 2.78
Ho: 0.5544 0.7554 0.7990  1 Os 2.78
Ho: 0.6682 0.3522 0.6839  3 Os 2.78-2.97
Ho: 0.6682 0.9843 0.3161  3 Os 2.78-2.97
Ho: 0.8179 0.2784 0.0963  3 Os 2.92-2.97, 1 Ag 3.12
Ho: 0.8179 0.7216 0.5395  3 Os 2.92-2.97, 1 Ag 3.12
Ho: 0.9564 0.7554 0.2010  1 Os 2.78
Ag: 0.0000 0.0000 0.0000  2 Os 3.02, 8 Ho 3.12-3.16
Ag: 0.5000 0.5000 0.0000  12 Ho 3.25-3.63
Os: 0.1218 0.6218 0.5000  1 Os 2.53, 2 Ho 2.78
Os: 0.3221 0.0000 0.3221  8 Ho 2.78-2.97, 1 Ag 3.02
Os: 0.6779 0.0000 0.6779  8 Ho 2.78-2.97, 1 Ag 3.02
Os: 0.8782 0.3782 0.5000  1 Os 2.53, 2 Ho 2.78

## Properties
calculated total energy	-6.12	eV per atom
theoretical density	10.8	g/cm³
E_form	-0.257	eV/atom
SG	Immm (71)

=====

(2)
Below is an optimized crystal structure of RbPHRuC, with properties calculated at the PBE level.

Cell lengths 4.0678, 4.3397, 5.6739 Å; angles 87.01, 89.30, 76.39 degrees
Last column: nearest neighbours and their distance in Å.
Fractional positions:
Rb: 0.0000 0.0000 0.0000  2 H 2.85-2.99
P: 0.5516 0.8670 0.5193  1 C 1.74
H: 0.0361 0.4467 0.3446  1 C 1.27
Ru: 0.3930 0.3945 0.5165  1 H 1.72
C: 0.8806 0.5266 0.5352  1 H 1.27

## Properties
calculated total energy	-5.42	eV per atom
theoretical density	3.9	g/cm³
SG	P1 (1)

=====

(3)
Below is an optimized crystal structure of Zr2ScVN, with properties calculated at the PBE level.

Cell lengths 4.6718, 4.6718, 3.9050 Å; angles 90.00, 90.00, 90.00 degrees
Last column: nearest neighbours and their distance in Å.
Fractional positions:
Zr: 0.0000 0.5000 0.0000  2 N 2.34
Zr: 0.5000 0.0000 0.0000  2 N 2.34
Sc: 0.0000 0.0000 0.5000  8 Zr 3.04, 4 V 3.30
V: 0.5000 0.5000 0.5000  2 N 1.95
N: 0.5000 0.5000 0.0000  2 V 1.95

## Properties
calculated total energy	-8.77	eV per atom
theoretical density	5.7	g/cm³
ΔE_f (raw)	-0.593	eV/atom
SG	P4/mmm (123)

=====

(4)
Below is an optimized crystal structure of Pr6Sm3Cd, with properties calculated at the PBE level.

Cell lengths 11.5889, 11.5889, 6.5047 Å; angles 90.00, 90.00, 128.82 degrees
Last column: nearest neighbours and their distance in Å.
Fractional positions:
Pr: 0.0225 0.9775 0.5000  1 Cd 3.19, 4 Pr 3.39-3.55
Pr: 0.0982 0.5317 0.0085  3 Sm 3.32-3.71, 4 Pr 3.44-3.70, 2 Cd 3.68-3.70
Pr: 0.2585 0.3721 0.2257  3 Sm 3.46-3.65, 3 Pr 3.55-3.70, 1 Cd 3.79
Pr: 0.2877 0.7123 0.4540  1 Cd 3.26, 1 Sm 3.28, 4 Pr 3.44-3.50
Pr: 0.3721 0.2585 0.7257  3 Sm 3.46-3.65, 3 Pr 3.55-3.70, 1 Cd 3.79
Pr: 0.4683 0.9018 0.0085  3 Sm 3.32-3.71, 4 Pr 3.44-3.70, 2 Cd 3.68-3.70
Pr: 0.5317 0.0982 0.5085  3 Sm 3.32-3.71, 4 Pr 3.44-3.70, 2 Cd 3.68-3.70
Pr: 0.6279 0.7415 0.2257  3 Sm 3.46-3.65, 3 Pr 3.55-3.70, 1 Cd 3.79
Pr: 0.7123 0.2877 0.9540  1 Cd 3.26, 1 Sm 3.28, 4 Pr 3.44-3.50
Pr: 0.7415 0.6279 0.7257  3 Sm 3.46-3.65, 3 Pr 3.55-3.70, 1 Cd 3.79
Pr: 0.9018 0.4683 0.5085  3 Sm 3.32-3.71, 4 Pr 3.44-3.70, 2 Cd 3.68-3.70
Pr: 0.9775 0.0225 0.0000  1 Cd 3.19, 4 Pr 3.39-3.55
Sm: 0.0419 0.2958 0.6515  1 Cd 3.29, 4 Pr 3.32-3.57, 2 Sm 3.38-3.49
Sm: 0.2958 0.0419 0.1515  1 Cd 3.29, 4 Pr 3.32-3.57, 2 Sm 3.38-3.49
Sm: 0.4148 0.5852 0.7512  5 Pr 3.28-3.65, 2 Sm 3.49
Sm: 0.5852 0.4148 0.2512  5 Pr 3.28-3.65, 2 Sm 3.49
Sm: 0.7042 0.9581 0.6515  1 Cd 3.29, 4 Pr 3.32-3.57, 2 Sm 3.38-3.49
Sm: 0.9581 0.7042 0.1515  1 Cd 3.29, 4 Pr 3.32-3.57, 2 Sm 3.38-3.49
Cd: 0.1574 0.8426 0.7290  2 Pr 3.19-3.26, 2 Sm 3.29
Cd: 0.8426 0.1574 0.2290  2 Pr 3.19-3.26, 2 Sm 3.29

## Properties
calculated total energy	-4.34	eV per atom
theoretical density	6.9	g/cm³
E_form	0.039	eV/atom
SG	Cmc2_1 (36)

=====

Q: The lowest theoretical density belongs to which entry?
A: RbPHRuC

=====

Q: Which formula does entry 1 have?
A: Ho6AgOs2